The following is a DFT calculation (PBEsol) of HfAg2SbP after structural relaxation.

Calculated values
**Formation energy (no corrections)**: 0.07 eV per atom
**Uncorrected energy**: -27.13 eV per formula unit

a = 4.6107 Å, b = 4.6107 Å, c = 5.0065 Å
α = 90.00°, β = 90.00°, γ = 90.00°
With the nearest neighbours (Å) after each atom.
Sites, in units of the cell vectors:
Sb1 0.5000 0.5000 0.5000  4 Hf 3.26, 8 Ag 3.40
Hf1 0.0000 0.0000 0.5000  2 P 2.50
Ag1 0.0000 0.5000 0.0000  2 P 2.31
Ag2 0.5000 0.0000 0.0000  2 P 2.31
P1 0.0000 0.0000 0.0000  4 Ag 2.31, 2 Hf 2.50


The following is a DFT calculation (PBEsol) of HfAg3Pb after structural relaxation.

Calculated values
**Uncorrected energy**: -19.04 eV per formula unit
**ΔE_f**: 1.079 eV per atom

a = 5.1297 Å, b = 5.1297 Å, c = 5.1297 Å
α = 90.00°, β = 90.00°, γ = 90.00°
With the nearest neighbours (Å) after each atom.
Sites, in units of the cell vectors:
Pb1 0.5000 0.5000 0.5000  12 Ag 3.63
Hf1 0.0000 0.0000 0.0000  6 Ag 2.56
Ag1 0.0000 0.5000 0.0000  2 Hf 2.56
Ag2 0.0000 0.0000 0.5000  2 Hf 2.56
Ag3 0.5000 0.0000 0.0000  2 Hf 2.56


The following is a DFT calculation (PBEsol) of HfAgPd after structural relaxation.

Calculated values
**Uncorrected energy**: -21.36 eV per formula unit
**ΔE_f**: -0.530 eV per atom

a = 4.8660 Å, b = 4.9569 Å, c = 4.8683 Å
α = 90.00°, β = 90.00°, γ = 119.39°
With the nearest neighbours (Å) after each atom.
Sites, in units of the cell vectors:
Hf1 0.2592 0.5184 0.7500  5 Pd 2.74-2.91, 5 Ag 2.83-2.91
Hf2 0.7408 0.4816 0.2500  5 Pd 2.74-2.91, 5 Ag 2.83-2.91
Pd1 0.4039 0.8078 0.2500  5 Hf 2.74-2.91, 3 Ag 2.84-2.85, 2 Pd 2.95
Pd2 0.5961 0.1922 0.7500  5 Hf 2.74-2.91, 3 Ag 2.84-2.85, 2 Pd 2.95
Ag1 0.0745 0.1490 0.2500  2 Ag 2.75, 5 Hf 2.83-2.91, 3 Pd 2.84-2.85
Ag2 0.9255 0.8510 0.7500  2 Ag 2.75, 5 Hf 2.83-2.91, 3 Pd 2.84-2.85


The following is a DFT calculation (PBEsol) of Hf4AgPd after structural relaxation.

Calculated values
**Uncorrected energy**: -53.28 eV per formula unit
**ΔE_f**: -0.333 eV per atom

a = 3.2025 Å, b = 3.2025 Å, c = 11.2628 Å
α = 90.00°, β = 90.00°, γ = 90.00°
With the nearest neighbours (Å) after each atom.
Sites, in units of the cell vectors:
Hf1 0.5000 0.5000 0.1693  4 Ag 2.96, 8 Hf 3.02-3.20
Hf2 0.0000 0.0000 0.6532  4 Pd 2.85, 4 Hf 3.02
Hf3 0.0000 0.0000 0.3468  4 Pd 2.85, 4 Hf 3.02
Hf4 0.5000 0.5000 0.8307  4 Ag 2.96, 8 Hf 3.02-3.20
Pd1 0.5000 0.5000 0.5000  8 Hf 2.85
Ag1 0.0000 0.0000 0.0000  8 Hf 2.96, 4 Ag 3.20


The following is a DFT calculation (PBEsol) of Hf2AgPt2 after structural relaxation.

Calculated values
**Uncorrected energy**: -42.34 eV per formula unit
**ΔE_f**: -0.819 eV per atom

a = 3.2298 Å, b = 7.4932 Å, c = 7.4932 Å
α = 90.00°, β = 90.00°, γ = 90.00°
With the nearest neighbours (Å) after each atom.
Sites, in units of the cell vectors:
Hf1 0.5000 0.1666 0.6666  6 Pt 2.67-2.77
Hf2 0.5000 0.6666 0.8334  6 Pt 2.67-2.77
Hf3 0.5000 0.8334 0.3334  6 Pt 2.67-2.77
Hf4 0.5000 0.3334 0.1666  6 Pt 2.67-2.77
Pt1 0.0000 0.3676 0.8676  6 Hf 2.67-2.77, 1 Pt 2.81, 2 Ag 2.93
Pt2 0.0000 0.8676 0.6324  6 Hf 2.67-2.77, 1 Pt 2.81, 2 Ag 2.93
Pt3 0.0000 0.6324 0.1324  6 Hf 2.67-2.77, 1 Pt 2.81, 2 Ag 2.93
Pt4 0.0000 0.1324 0.3676  6 Hf 2.67-2.77, 1 Pt 2.81, 2 Ag 2.93
Ag1 0.0000 0.0000 0.0000  4 Pt 2.93, 8 Hf 3.23, 2 Ag 3.23
Ag2 0.0000 0.5000 0.5000  4 Pt 2.93, 8 Hf 3.23, 2 Ag 3.23


The following is a DFT calculation (PBEsol) of RbHfAg3 after structural relaxation.

Calculated values
**Uncorrected energy**: -17.49 eV per formula unit
**ΔE_f**: 0.794 eV per atom

a = 5.3365 Å, b = 5.3365 Å, c = 5.3365 Å
α = 90.00°, β = 90.00°, γ = 90.00°
With the nearest neighbours (Å) after each atom.
Sites, in units of the cell vectors:
Hf1 0.0000 0.0000 0.0000  6 Ag 2.67
Rb1 0.5000 0.5000 0.5000  12 Ag 3.77
Ag1 0.0000 0.5000 0.0000  2 Hf 2.67
Ag2 0.0000 0.0000 0.5000  2 Hf 2.67
Ag3 0.5000 0.0000 0.0000  2 Hf 2.67


The following is a DFT calculation (PBEsol) of RbHf2Ag after structural relaxation.

Calculated values
**Uncorrected energy**: -20.91 eV per formula unit
**ΔE_f**: 1.109 eV per atom

a = 4.9428 Å, b = 4.9428 Å, c = 4.9428 Å
α = 60.00°, β = 60.00°, γ = 60.00°
With the nearest neighbours (Å) after each atom.
Sites, in units of the cell vectors:
Hf1 0.2500 0.2500 0.2500  4 Rb 3.03, 4 Ag 3.03
Hf2 0.7500 0.7500 0.7500  4 Rb 3.03, 4 Ag 3.03
Rb1 0.0000 0.0000 0.0000  8 Hf 3.03
Ag1 0.5000 0.5000 0.5000  8 Hf 3.03


The following is a DFT calculation (PBEsol) of Hf2ReAg after structural relaxation.

Calculated values
**Uncorrected energy**: -38.49 eV per formula unit
**ΔE_f**: -0.210 eV per atom

a = 4.6506 Å, b = 4.6506 Å, c = 4.6506 Å
α = 60.00°, β = 60.00°, γ = 60.00°
With the nearest neighbours (Å) after each atom.
Sites, in units of the cell vectors:
Re1 0.5000 0.5000 0.5000  8 Hf 2.85
Hf1 0.2500 0.2500 0.2500  4 Ag 2.85, 4 Re 2.85
Hf2 0.7500 0.7500 0.7500  4 Re 2.85, 4 Ag 2.85
Ag1 0.0000 0.0000 0.0000  8 Hf 2.85


- Which value of uncorrected energy does entry 3 give?
  -21.36 eV per formula unit